Entry 1:
A relaxed structure of CuReSbPd, computed with PBE-GGA.

Geometry as extended XYZ:
```
4
Lattice="0.9689 -4.3751 -0.2548 0.7510 -2.3542 3.7469 -2.9962 -3.0459 1.3751" Properties=species:S:1:pos:R:3 pbc="T T T"
Cu -0.9571 -7.3314 3.6504
Pd -0.6381 -4.8876 2.4336
Re -0.3190 -2.4438 1.2168
Sb 0.0000 0.0000 0.0000
```

Results
Relative energy among the computed polymorphs ... 0 meV per atom

***

Entry 2:
A relaxed structure of Cu2Ag3, computed with PBE-GGA.

Geometry as extended XYZ:
```
10
Lattice="-1.4069 4.6125 0.2442 -0.4762 -0.2930 2.7915 11.0409 2.1027 2.1040" Properties=species:S:1:pos:R:3 pbc="T T T"
Ag 8.3576 5.4018 3.4444
Ag 6.7975 3.0686 2.9333
Ag 9.5159 3.2654 1.9660
Ag 0.8002 1.0204 1.6954
Cu 5.2824 0.9048 2.4478
Ag 2.3604 3.3536 2.2064
Cu 6.2263 5.5136 1.6409
Cu 4.8170 3.3576 1.1741
Ag 0.1181 3.4498 0.3823
Cu 3.4077 1.2016 0.7074
```

Results
Relative energy among the computed polymorphs ... 57 meV per atom

***

Entry 3:
A relaxed structure of LaNd2Si4Ir2Pd2, computed with PBE-GGA.

Geometry as extended XYZ:
```
11
Lattice="-2.0594 2.1103 12.4007 2.0594 -2.1103 12.4007 2.0594 2.1103 -12.4007" Properties=species:S:1:pos:R:3 pbc="T T T"
Nd 2.0594 0.0000 8.7525
Pd 2.0594 0.0000 2.4791
Ir 0.0000 0.0000 18.6088
Pd 0.0000 2.1103 9.9216
Si 0.0000 2.1103 7.4766
Si 2.0594 0.0000 4.9240
Si 0.0000 0.0000 11.1960
La 0.0000 0.0000 0.0000
Nd 0.0000 2.1103 3.6482
Si 0.0000 0.0000 13.6054
Ir 0.0000 0.0000 6.1926
```

Results
Total energy ... -6.845 eV/atom

***

Entry 4:
A relaxed structure of K2ZnHgSb2, computed with PBE-GGA.

Geometry as extended XYZ:
```
6
Lattice="4.7514 0.0000 0.0000 -2.3757 4.1148 0.0000 0.0000 0.0000 10.5079" Properties=species:S:1:pos:R:3 pbc="T T T"
K 2.3757 1.3716 7.8701
Sb 0.0000 0.0000 5.2539
Zn 0.0000 2.7432 5.2539
Hg 0.0000 0.0000 0.0000
K 2.3757 1.3716 2.6378
Sb 0.0000 2.7432 0.0000
```

Results
Total energy ... -2.371 eV/atom

***

Entry 5:
A relaxed structure of LiCdIr2, computed with PBE-GGA.

Geometry as extended XYZ:
```
4
Lattice="-3.3287 -0.8349 2.7710 -2.9974 3.1222 0.8507 -4.1098 -0.4076 -1.5491" Properties=species:S:1:pos:R:3 pbc="T T T"
Cd -2.6089 0.4699 0.5182
Ir 0.0000 0.0000 0.0000
Ir -7.8268 1.4097 1.5545
Li -5.2179 0.9398 1.0363
```

Results
Total energy ... -5.030 eV/atom

***

Entry 6:
A relaxed structure of NdTmNO, computed with PBE-GGA.

Geometry as extended XYZ:
```
16
Lattice="-0.5513 6.3246 -1.9459 -6.1442 1.0886 5.2786 3.3248 1.3922 3.5829" Properties=species:S:1:pos:R:3 pbc="T T T"
O -2.7032 6.1910 0.4902
N -5.6545 6.9562 2.8977
Nd 0.7912 3.5814 1.8384
O -1.9726 2.0678 5.0189
Tm -1.0252 7.0380 2.1799
O -0.8752 4.9869 2.8663
Tm -3.6771 1.2097 3.3008
Tm -2.2089 4.1343 4.4066
O -3.8006 3.2720 2.6428
Nd -5.4926 4.6667 3.6433
N 0.9474 1.2896 2.5778
Nd -0.6808 0.7008 0.7191
N -3.7819 5.2409 5.4311
N -0.9251 3.0049 0.0444
Tm -2.4933 4.1135 1.0741
Nd -4.0206 7.5474 4.7626
```

Results
Relative energy among the computed polymorphs ... 92 meV per atom

***

Entry 7:
A relaxed structure of GdZrPa, computed with PBE-GGA.

Geometry as extended XYZ:
```
3
Lattice="-1.3331 -4.8235 -0.8428 -4.1826 -1.8917 2.1635 -4.0735 -1.0477 -2.8394" Properties=species:S:1:pos:R:3 pbc="T T T"
Pa 0.0000 0.0000 0.0000
Zr -7.1919 -5.8221 -1.1390
Gd -2.3973 -1.9407 -0.3797
```

Results
Total energy ... -6.430 eV/atom

***

Entry 8:
A relaxed structure of Nd2Sm2S3O4, computed with PBE-GGA.

Geometry as extended XYZ:
```
11
Lattice="-5.9648 -5.5142 1.6087 1.2569 0.5160 6.4292 -1.4615 3.2000 5.5501" Properties=species:S:1:pos:R:3 pbc="T T T"
O -1.5480 -1.0882 1.4642
S -3.0463 -1.5965 4.5458
O -4.4528 -3.7736 2.2476
S -0.8539 0.5797 4.4107
O -0.1266 2.2996 7.4133
Nd -0.0027 0.0491 0.1583
S -5.2543 -3.4884 5.5974
Sm -4.5252 -1.4968 9.4236
Sm -1.7211 1.0954 8.6673
O -3.1032 -0.5626 7.8789
Nd -3.1859 0.9403 12.7236
```

Results
Total energy ... -7.446 eV/atom

***

Entry 9:
A relaxed structure of Sb2Mo, computed with PBE-GGA.

Geometry as extended XYZ:
```
12
Lattice="-3.8942 5.2257 -0.0279 -5.2115 -3.8977 -2.6428 0.0403 -4.0036 5.8252" Properties=species:S:1:pos:R:3 pbc="T T T"
Mo -3.5765 -0.6415 -1.3272
Sb -5.7970 -2.2953 -1.1229
Sb -1.3140 -2.9904 4.3033
Mo -0.9551 -0.6981 2.9050
Mo -8.1103 -1.9775 0.2495
Sb -3.2683 -0.3803 4.2774
Sb -2.4334 -1.8108 0.8333
Sb -7.7513 0.3148 -1.1489
Mo -5.5291 1.9695 -1.3435
Sb -6.6319 -0.8648 2.3212
Sb -4.6945 -3.4876 2.3386
Sb -4.3708 0.8120 0.8159
```

Results
Total energy ... -6.190 eV/atom

***

Entry 10:
A relaxed structure of Y2Ga3Pd4, computed with PBE-GGA.

Geometry as extended XYZ:
```
18
Lattice="2.8000 -7.6081 0.0000 2.8000 7.6081 0.0000 0.0000 0.0000 7.7191" Properties=species:S:1:pos:R:3 pbc="T T T"
Ga 2.8000 0.0000 3.8595
Ga 4.2000 -3.5033 5.7893
Pd 2.8000 4.8283 0.1488
Ga 0.0000 0.0000 0.0000
Y 2.8000 1.6723 7.0682
Pd 2.8000 -2.7798 3.7107
Y 2.8000 5.9358 3.2087
Y 2.8000 -1.6723 0.6509
Pd 4.2000 -0.9049 5.7893
Pd 2.8000 -4.8283 7.5703
Pd 1.4000 0.9049 1.9298
Pd 2.8000 2.7798 4.0083
Ga 1.4000 3.5033 1.9298
Ga 1.4000 -3.5033 5.7893
Pd 4.2000 0.9049 1.9298
Y 2.8000 -5.9358 4.5104
Ga 4.2000 3.5033 1.9298
Pd 1.4000 -0.9049 5.7893
```

Results
Total energy ... -5.605 eV/atom

***

Entry 11:
A relaxed structure of LiErHgS3, computed with PBE-GGA.

Geometry as extended XYZ:
```
12
Lattice="2.0309 -7.1042 0.0000 2.0309 7.1042 0.0000 0.0000 0.0000 10.3708" Properties=species:S:1:pos:R:3 pbc="T T T"
S 2.0310 -1.8583 0.2288
S 2.0310 6.4097 7.7781
Er 0.0000 0.0000 5.1854
S 2.0310 -6.4097 2.5927
Hg 2.0309 -1.8422 2.5927
S 2.0310 1.8583 5.4142
S 2.0310 1.8583 10.1420
S 2.0310 -1.8583 4.9566
Hg 2.0309 1.8422 7.7781
Li 2.0309 -1.9413 7.7781
Li 2.0309 1.9413 2.5927
Er 0.0000 0.0000 0.0000
```

Results
Relative energy among the computed polymorphs ... 58 meV per atom

***

Entry 12:
A relaxed structure of TmAgSn, computed with PBE-GGA.

Geometry as extended XYZ:
```
3
Lattice="-4.0237 -2.0446 -1.9125 -4.2734 0.3062 2.3817 -3.5897 2.8356 -1.7611" Properties=species:S:1:pos:R:3 pbc="T T T"
Tm 0.0000 0.0000 0.0000
Sn -8.9151 0.8229 -0.9689
Ag -2.9717 0.2743 -0.3230
```

Results
Total energy ... -3.802 eV/atom

***

Entry 13:
A relaxed structure of La2Ta2Cl2O7, computed with PBE-GGA.

Geometry as extended XYZ:
```
13
Lattice="7.7425 -1.9762 0.0000 7.7425 1.9762 0.0000 -2.7984 0.0000 6.3712" Properties=species:S:1:pos:R:3 pbc="T T T"
O 12.5946 0.0000 0.4578
Ta 14.3889 0.0000 1.2917
Ta -1.7022 0.0000 5.0795
O 0.0921 0.0000 5.9134
La 2.4414 0.0000 5.3018
La 10.2452 0.0000 1.0694
O -1.3992 0.0000 3.1856
O 6.0803 0.0000 5.3067
Cl 8.8827 0.0000 3.6046
O 0.8296 0.0000 0.9678
O 6.6063 0.0000 1.0645
O 11.8571 0.0000 5.4034
Cl 3.8039 0.0000 2.7666
```

Results
Total energy ... -8.545 eV/atom

***

Entry 14:
A relaxed structure of HoSi2Ni, computed with PBE-GGA.

Geometry as extended XYZ:
```
8
Lattice="-0.0523 -2.1900 -3.4518 -0.0942 -3.6682 2.3287 -7.8589 0.1977 -0.0065" Properties=species:S:1:pos:R:3 pbc="T T T"
Ni -6.8006 -3.4438 -0.1331
Si -3.6588 -1.7240 1.1492
Si -3.8579 -3.9790 0.1619
Si -7.5892 -1.6636 1.1704
Ni -2.8361 -2.1757 -0.9977
Ho -1.7310 -3.4831 2.2360
Ho -5.5737 -0.0037 0.0867
Si -7.7286 -1.5914 -1.2943
```

Results
Total energy ... -5.700 eV/atom

***

Entry 15:
A relaxed structure of ZrCoNiGe, computed with PBE-GGA.

Geometry as extended XYZ:
```
4
Lattice="-0.7270 -4.0210 1.3410 -4.0310 -1.4640 0.3207 -1.4383 -2.9622 -2.7661" Properties=species:S:1:pos:R:3 pbc="T T T"
Co -4.6472 -6.3354 -0.8284
Ge 0.0000 0.0000 0.0000
Ni -1.5491 -2.1118 -0.2761
Zr -3.0981 -4.2236 -0.5523
```

Results
Relative energy among the computed polymorphs ... 0 meV per atom

***

Entry 16:
A relaxed structure of Ni7Pb, computed with PBE-GGA.

Geometry as extended XYZ:
```
16
Lattice="-1.2601 -2.1677 1.2185 2.4796 -0.9918 0.7999 -2.2535 17.2833 28.4153" Properties=species:S:1:pos:R:3 pbc="T T T"
Ni -1.8990 8.6482 16.6096
Ni -0.3123 11.4078 19.9708
Ni -1.7095 7.1949 14.2203
Ni 0.2552 7.0554 12.8149
Ni 0.0657 8.5086 15.2042
Pb -2.5131 13.3584 24.3536
Ni -1.5204 5.7447 11.8360
Ni -2.2764 11.5433 21.3694
Pb 0.8693 2.3452 5.0709
Ni -1.1409 2.8340 7.0505
Ni -0.1234 9.9589 17.5886
Ni -1.3315 4.2957 9.4538
Ni 0.6327 4.1603 8.0552
Ni -0.5029 12.8696 22.3740
Ni 0.4439 5.6083 10.4358
Ni -2.0876 10.0953 18.9888
```

Results
Relative energy among the computed polymorphs ... 82 meV per atom

***

Entry 17:
A relaxed structure of K2NaHoI6, computed with PBE-GGA.

Geometry as extended XYZ:
```
10
Lattice="-3.4877 -6.9246 3.7812 -0.3055 -0.5203 8.6050 -7.5619 0.6723 4.0959" Properties=species:S:1:pos:R:3 pbc="T T T"
I -2.9458 -1.9289 8.4261
Ho 0.0000 0.0000 0.0000
K -8.5163 -5.0794 12.3615
Na -5.6776 -3.3863 8.2410
I -8.4093 -4.8437 8.0559
I -6.6358 -1.3225 6.1332
K -2.8388 -1.6931 4.1205
I -4.7193 -5.4501 10.3489
I -6.7911 -1.5870 10.5089
I -4.5640 -5.1855 5.9732
```

Results
Total energy ... -3.084 eV/atom

***

Entry 18:
A relaxed structure of La2PrNiSn3Pt2, computed with PBE-GGA.

Geometry as extended XYZ:
```
9
Lattice="-3.6695 -0.4718 -1.7995 -2.5631 -3.7613 6.2130 -0.7556 7.6505 -0.4651" Properties=species:S:1:pos:R:3 pbc="T T T"
La -0.3118 3.1482 -0.1897
Sn -4.5342 4.5467 3.3510
Sn -4.9668 1.8153 4.9494
Ni -3.3170 3.8872 5.7448
Pr -1.9615 2.2986 3.3971
Sn -2.6395 0.7072 0.4941
Pt -3.1881 3.6155 0.8501
La -1.0553 -1.5462 2.5574
Pt -3.7934 -0.2061 3.0865
```

Results
Total energy ... -5.879 eV/atom

***

Entry 19:
A relaxed structure of Pu, computed with PBE-GGA.

Geometry as extended XYZ:
```
4
Lattice="1.4108 0.3709 3.4879 -2.0081 -3.5309 1.1877 2.7180 -4.2980 -0.6424" Properties=species:S:1:pos:R:3 pbc="T T T"
Pu 2.3770 -3.5409 1.0319
Pu -0.2562 -3.9171 3.0013
Pu 1.1556 -2.0444 3.4158
Pu 0.9651 -5.4136 0.6174
```

Results
Relative energy among the computed polymorphs ... 22 meV per atom

***

Entry 20:
A relaxed structure of RbZrCu, computed with PBE-GGA.

Geometry as extended XYZ:
```
3
Lattice="0.0000 3.3789 3.3789 3.3789 0.0000 3.3789 3.3789 3.3789 0.0000" Properties=species:S:1:pos:R:3 pbc="T T T"
Rb 0.0000 0.0000 0.0000
Cu 1.6895 1.6895 1.6895
Zr 5.0684 5.0684 5.0684
```

Results
Relative energy among the computed polymorphs ... 584 meV per atom

***

Entry 21:
A relaxed structure of CsZrAs, computed with PBE-GGA.

Geometry as extended XYZ:
```
3
Lattice="0.0000 3.6551 3.6551 3.6551 0.0000 3.6551 3.6551 3.6551 0.0000" Properties=species:S:1:pos:R:3 pbc="T T T"
Zr 5.4827 5.4827 5.4827
As 1.8276 1.8276 1.8276
Cs 0.0000 0.0000 0.0000
```

Results
Relative energy among the computed polymorphs ... 871 meV per atom

***

Entry 22:
A relaxed structure of DyInNiSe3, computed with PBE-GGA.

Geometry as extended XYZ:
```
12
Lattice="7.0867 -1.9241 0.0000 7.0867 1.9241 0.0000 0.0000 0.0000 10.4768" Properties=species:S:1:pos:R:3 pbc="T T T"
Se 1.1244 0.0000 2.6192
Dy 0.0000 0.0000 5.2384
Dy 0.0000 0.0000 0.0000
Se 5.1468 0.0000 4.4173
Se 9.0266 0.0000 6.0594
Ni 7.4172 0.0000 7.8576
In 3.4756 0.0000 7.8576
Se 5.1468 0.0000 0.8211
In 10.6978 0.0000 2.6192
Ni 6.7562 0.0000 2.6192
Se 13.0490 0.0000 7.8576
Se 9.0266 0.0000 9.6557
```

Results
Total energy ... -4.780 eV/atom

***

Entry 23:
A relaxed structure of BaSn2PdAu, computed with PBE-GGA.

Geometry as extended XYZ:
```
10
Lattice="-0.2973 -4.3444 2.1391 4.3657 -1.1678 -1.7650 4.7640 4.1303 9.0506" Properties=species:S:1:pos:R:3 pbc="T T T"
Au 3.9081 0.9119 2.3952
Sn 2.6999 -0.1356 0.0998
Ba 5.7874 2.5411 5.9654
Sn 2.3820 2.0651 4.5253
Au 2.8900 0.4623 6.8425
Ba 1.0108 -1.1670 3.2723
Pd 2.0342 -2.7561 0.1870
Sn 4.0983 1.5098 9.1378
Pd 0.0000 0.0000 0.0000
Sn 4.4162 -0.6910 4.7123
```

Results
Total energy ... -4.338 eV/atom

***

Entry 24:
A relaxed structure of IrF2, computed with PBE-GGA.

Geometry as extended XYZ:
```
6
Lattice="3.3681 1.9446 5.5000 -3.3681 1.9446 5.5000 0.0000 -3.8891 5.5000" Properties=species:S:1:pos:R:3 pbc="T T T"
F 0.0000 -1.9445 8.9376
F 0.0000 0.0000 6.1875
Ir 0.0000 0.0000 8.2500
F 1.6840 0.9723 8.9376
Ir 0.0000 0.0000 4.1250
F -1.6840 0.9723 8.9376
```

Results
Total energy ... -4.147 eV/atom